Entry from Alexandria via LeMat-Bulk: a relaxed structure of La5Mo (GGA-PBE).

**Excess energy over the best structure of this formula in the dataset**: 41.78 kJ/mol of atoms
**Fermi-level density of states**: 10.9 states/eV/cell

Cell lengths 6.484, 6.484, 6.484 Å; angles 60.00, 60.00, 60.00 degrees
Each line ends with the local moment (μB).
Sites, in units of the cell vectors:
La (0.250, 0.250, 0.250)  -0.12
La (0.628, 0.628, 0.117)  -0.07
La (0.628, 0.117, 0.628)  -0.07
La (0.117, 0.628, 0.628)  -0.07
La (0.628, 0.628, 0.628)  -0.07
Mo (0.000, 0.000, 0.000)  2.40

=====

Entry from Alexandria via LeMat-Bulk: a relaxed structure of GaCuI4 (GGA-PBE).

**Formation energy without anion corrections**: -9.020 kcal/mol of atoms
**Fermi-level density of states**: 0.0 states/eV/cell

Cell lengths 6.440, 6.440, 11.398 Å; angles 90.00, 90.00, 90.00 degrees
Sites, in units of the cell vectors:
Cu (0.000, 0.000, 0.000)
Cu (0.000, 0.000, 0.500)
I (0.738, 0.233, 0.619)
I (0.233, 0.262, 0.381)
I (0.262, 0.767, 0.619)
I (0.767, 0.262, 0.119)
I (0.738, 0.767, 0.881)
I (0.233, 0.738, 0.119)
I (0.262, 0.233, 0.881)
I (0.767, 0.738, 0.381)
Ga (0.000, 0.500, 0.250)
Ga (0.500, 0.000, 0.750)

=====

Entry from Alexandria via LeMat-Bulk: a relaxed structure of Tm2Tl3SbTe6 (GGA-PBE).

**Formation energy without anion corrections**: -17.490 kcal/mol of atoms
**Fermi-level density of states**: 0.0 states/eV/cell

Cell lengths 7.702, 7.702, 8.507 Å; angles 98.67, 98.67, 120.04 degrees
Sites, in units of the cell vectors:
Te (0.405, 0.070, 0.210)
Te (0.735, 0.735, 0.212)
Te (0.265, 0.265, 0.788)
Te (0.070, 0.405, 0.210)
Te (0.930, 0.595, 0.790)
Te (0.595, 0.930, 0.790)
Tl (0.500, 0.500, 0.500)
Tl (0.833, 0.167, 0.500)
Tl (0.167, 0.833, 0.500)
Sb (0.000, 0.000, 0.000)
Tm (0.667, 0.333, 0.000)
Tm (0.333, 0.667, 0.000)

=====

Entry from Alexandria via LeMat-Bulk: a relaxed structure of BaLaTe2N (GGA-PBE).

**Excess energy over the best structure of this formula in the dataset**: 81.49 kJ/mol of atoms
**Formation energy without anion corrections**: 2.212 kcal/mol of atoms
**Fermi-level density of states**: 4.1 states/eV/cell

Cell lengths 6.302, 6.302, 4.496 Å; angles 90.00, 90.00, 90.00 degrees
Each line ends with the local moment (μB).
Sites, in units of the cell vectors:
N (0.000, 0.000, 0.500)  0.58
La (0.500, 0.500, 0.500)  -0.17
Te (0.000, 0.500, 0.000)  0.07
Te (0.500, 0.000, 0.000)  0.07
Ba (0.000, 0.000, 0.000)  0.05

=====

Q: Look up the Fermi-level density of states of the third one.
A: 0.0 states/eV/cell